Record 1
An optimized crystal structure of Ce2As3Ru. Source: the Alexandria database, functional PBE-GGA. Values from VASP.

Cell and atoms, written as Quantum ESPRESSO input:
```
&SYSTEM
  ibrav = 0, nat = 6, ntyp = 3
/
ATOMIC_SPECIES
Ce 140.12 Ce.upf
As 74.92 As.upf
Ru 101.07 Ru.upf
CELL_PARAMETERS angstrom
4.1596 0.0000 0.0000
0.0000 5.8722 0.0000
-2.0798 -2.9361 5.4677
ATOMIC_POSITIONS angstrom
Ce 0.0000 2.9361 3.4941
Ce 2.0798 0.0000 1.9736
As 0.0000 0.0000 0.0000
As 0.0000 0.0000 3.9777
As 2.0798 2.9361 1.4900
Ru 0.0000 2.9361 0.0000
```

- VASP energy (eV/atom) = -6.702

Record 2
An optimized crystal structure of CeAsRuS. Source: the Alexandria database, functional PBE-GGA. Values from VASP.

Cell and atoms, written as Quantum ESPRESSO input:
```
&SYSTEM
  ibrav = 0, nat = 8, ntyp = 4
/
ATOMIC_SPECIES
S 32.06 S.upf
As 74.92 As.upf
Ru 101.07 Ru.upf
Ce 140.12 Ce.upf
CELL_PARAMETERS angstrom
-2.4602 -2.1714 -2.7967
-2.5598 -1.2622 3.2317
-4.8730 6.9810 -1.1333
ATOMIC_POSITIONS angstrom
S -2.4365 3.4905 -0.5667
S -4.9465 1.7737 -0.3492
As -5.4515 5.3451 0.6457
As -1.9315 -0.0809 -1.5615
Ru -2.5100 -1.7168 0.2175
Ru 0.0000 0.0000 0.0000
Ce -4.6298 3.7846 -2.1890
Ce -2.7532 1.4795 1.2732
```

- energy relative to the elements, uncorrected (meV per atom) = -1121
- VASP energy (eV/atom) = -7.118

Record 3
An optimized crystal structure of CeSbAs2Ru5. Source: the Alexandria database, functional PBE-GGA. Values from VASP.

Cell and atoms, written as Quantum ESPRESSO input:
```
&SYSTEM
  ibrav = 0, nat = 9, ntyp = 4
/
ATOMIC_SPECIES
As 74.92 As.upf
Ru 101.07 Ru.upf
Ce 140.12 Ce.upf
Sb 121.76 Sb.upf
CELL_PARAMETERS angstrom
3.9994 0.0000 0.0000
0.0000 3.9994 0.0000
0.0000 0.0000 11.0447
ATOMIC_POSITIONS angstrom
As 1.9997 1.9997 3.1084
As 1.9997 1.9997 7.9363
Ru 1.9997 1.9997 5.5223
Ru 0.0000 1.9997 1.7445
Ru 1.9997 0.0000 1.7445
Ru 1.9997 0.0000 9.3002
Ru 0.0000 1.9997 9.3002
Ce 0.0000 0.0000 5.5223
Sb 0.0000 0.0000 0.0000
```

- energy relative to the elements, uncorrected (meV per atom) = -88
- VASP energy (eV/atom) = -7.392

Record 4
An optimized crystal structure of CeAsRuSe. Source: the Alexandria database, functional PBE-GGA. Values from VASP.

Cell and atoms, written as Quantum ESPRESSO input:
```
&SYSTEM
  ibrav = 0, nat = 8, ntyp = 4
/
ATOMIC_SPECIES
Ru 101.07 Ru.upf
Se 78.96 Se.upf
As 74.92 As.upf
Ce 140.12 Ce.upf
CELL_PARAMETERS angstrom
4.2717 0.0000 0.0000
0.0000 4.2717 0.0000
0.0000 0.0000 9.0439
ATOMIC_POSITIONS angstrom
Ru 2.1358 2.1358 0.0000
Ru 0.0000 0.0000 0.0000
Se 2.1358 2.1358 4.5220
Se 0.0000 0.0000 4.5220
As 0.0000 2.1358 7.7571
As 2.1358 0.0000 1.2869
Ce 2.1358 0.0000 6.5819
Ce 0.0000 2.1358 2.4621
```

- energy relative to the elements, uncorrected (meV per atom) = -996
- VASP energy (eV/atom) = -6.832